Entry 1:
A plane-wave DFT calculation with PBE was carried out for a geometry-optimized BaNa2Tl structure. Values from VASP.

```
&SYSTEM
  ibrav = 0, nat = 8, ntyp = 3
/
ATOMIC_SPECIES
Tl 204.38 Tl.upf
Ba 137.33 Ba.upf
Na 22.99 Na.upf
CELL_PARAMETERS angstrom
-2.2758 1.1889 4.4082
-4.5231 -1.2579 -1.9959
-1.8532 -11.9669 5.2225
ATOMIC_POSITIONS crystal
Tl 0.7500 0.2500 0.5000
Ba 0.2500 0.7500 0.5000
Tl 0.0000 0.0000 0.0000
Na 0.0688 0.6250 0.2500
Na 0.6812 0.1250 0.2500
Na 0.8750 0.9312 0.7500
Na 0.3750 0.3188 0.7500
Ba 0.5000 0.5000 0.0000
```

Results
Its excess energy over the best structure of this formula in the dataset is 3.14 kcal/mol of atoms. The space group is No. 122.

---

Entry 2:
A plane-wave DFT calculation with PBE was carried out for a geometry-optimized BaNa6Tl2 structure. Values from VASP.

```
&SYSTEM
  ibrav = 0, nat = 9, ntyp = 3
/
ATOMIC_SPECIES
Na 22.99 Na.upf
Ba 137.33 Ba.upf
Tl 204.38 Tl.upf
CELL_PARAMETERS angstrom
-1.6333 -0.7216 -4.8208
3.3082 -3.8981 -0.5373
-8.5752 -7.8396 4.0787
ATOMIC_POSITIONS crystal
Na 0.5000 0.0000 0.7206
Na 0.0000 0.5000 0.7206
Na 0.5000 0.5000 0.5000
Ba 0.0000 0.0000 0.0000
Na 0.0000 0.5000 0.2794
Tl 0.5000 0.5000 0.1229
Na 0.5000 0.0000 0.2794
Na 0.0000 0.0000 0.5000
Tl 0.5000 0.5000 0.8771
```

Results
The space group is No. 123.

---

Entry 3:
A plane-wave DFT calculation with PBE was carried out for a geometry-optimized Ba2Na2Tl15 structure. Values from VASP.

```
&SYSTEM
  ibrav = 0, nat = 19, ntyp = 3
/
ATOMIC_SPECIES
Tl 204.38 Tl.upf
Ba 137.33 Ba.upf
Na 22.99 Na.upf
CELL_PARAMETERS angstrom
8.6235 0.1160 0.1034
1.2338 8.5356 0.1034
1.2338 1.0829 8.4673
ATOMIC_POSITIONS crystal
Tl 0.5000 0.0000 0.0000
Tl 0.7110 0.0000 0.2890
Ba 0.6525 0.6525 0.6525
Tl 0.3636 0.8537 0.3636
Tl 0.0000 0.0000 0.5000
Tl 0.0000 0.5000 0.0000
Ba 0.3475 0.3475 0.3475
Na 0.8969 0.8969 0.8969
Tl 0.7110 0.2890 0.0000
Tl 0.1463 0.6364 0.6364
Tl 0.2890 0.0000 0.7110
Tl 0.6364 0.6364 0.1463
Tl 0.3636 0.3636 0.8537
Na 0.1031 0.1031 0.1031
Tl 0.6364 0.1463 0.6364
Tl 0.2890 0.7110 0.0000
Tl 0.8537 0.3636 0.3636
Tl 0.0000 0.7110 0.2890
Tl 0.0000 0.2890 0.7110
```

Results
The space group is No. 166.

---

Entry 4:
A plane-wave DFT calculation with PBE was carried out for a geometry-optimized BaNa3Tl structure. Values from VASP.

```
&SYSTEM
  ibrav = 0, nat = 10, ntyp = 3
/
ATOMIC_SPECIES
Na 22.99 Na.upf
Tl 204.38 Tl.upf
Ba 137.33 Ba.upf
CELL_PARAMETERS angstrom
-1.6394 -2.9202 2.8272
1.7812 -4.1106 -3.2129
13.4907 1.8968 9.7822
ATOMIC_POSITIONS crystal
Na 0.0000 0.2791 0.5581
Tl 0.0000 0.3775 0.7550
Ba 0.5000 0.8451 0.6901
Na 0.0000 0.9450 0.8900
Na 0.5000 0.4489 0.8979
Na 0.0000 0.0550 0.1100
Na 0.0000 0.7209 0.4419
Ba 0.5000 0.1549 0.3099
Na 0.5000 0.5511 0.1021
Tl 0.0000 0.6225 0.2450
```

Results
Its excess energy over the best structure of this formula in the dataset is 0.00 kcal/mol of atoms. The space group is No. 65.

---

Entry 5:
A plane-wave DFT calculation with PBE was carried out for a geometry-optimized BaNa6Tl6 structure. Values from VASP.

```
&SYSTEM
  ibrav = 0, nat = 13, ntyp = 3
/
ATOMIC_SPECIES
Na 22.99 Na.upf
Tl 204.38 Tl.upf
Ba 137.33 Ba.upf
CELL_PARAMETERS angstrom
-5.5884 -0.9074 3.2718
1.2969 -1.1797 8.4223
-3.2056 7.3571 3.0994
ATOMIC_POSITIONS crystal
Na 0.2974 0.2026 0.2026
Tl 0.5000 0.7816 0.2184
Na 0.3534 0.6466 0.6466
Tl 0.5000 0.2184 0.7816
Na 0.0000 0.6582 0.3418
Tl 0.0000 0.0000 0.5000
Tl 0.5000 0.5000 0.0000
Na 0.0000 0.3418 0.6582
Tl 0.5000 0.0000 0.5000
Ba 0.0000 0.0000 0.0000
Na 0.6466 0.3534 0.3534
Tl 0.0000 0.5000 0.0000
Na 0.7026 0.7974 0.7974
```

Results
Its excess energy over the best structure of this formula in the dataset is 0.00 kcal/mol of atoms. The space group is No. 71.

---

Entry 6:
A plane-wave DFT calculation with PBE was carried out for a geometry-optimized BaNaTl6 structure. Values from VASP.

```
&SYSTEM
  ibrav = 0, nat = 8, ntyp = 3
/
ATOMIC_SPECIES
Tl 204.38 Tl.upf
Na 22.99 Na.upf
Ba 137.33 Ba.upf
CELL_PARAMETERS angstrom
5.4539 0.0000 0.0000
0.0000 7.1712 0.1481
0.0000 -3.0422 6.4956
ATOMIC_POSITIONS crystal
Tl 0.0000 0.6315 0.9484
Tl 0.0000 0.5839 0.4161
Na 0.0000 0.1074 0.8926
Tl 0.0000 0.0516 0.3685
Tl 0.5000 0.8737 0.5630
Tl 0.5000 0.9279 0.0721
Tl 0.5000 0.4370 0.1263
Ba 0.5000 0.3867 0.6133
```

Results
The space group is No. 38.

---

Entry 7:
A plane-wave DFT calculation with PBE was carried out for a geometry-optimized Ba3Na2Tl8 structure. Values from VASP.

```
&SYSTEM
  ibrav = 0, nat = 13, ntyp = 3
/
ATOMIC_SPECIES
Na 22.99 Na.upf
Tl 204.38 Tl.upf
Ba 137.33 Ba.upf
CELL_PARAMETERS angstrom
-4.5859 3.0953 -6.7712
-7.4389 -2.1224 -4.0767
-4.4071 5.1915 5.3865
ATOMIC_POSITIONS crystal
Na 0.4109 0.4109 0.7070
Tl 0.2170 0.2170 0.8811
Tl 0.3161 0.8430 0.6113
Tl 0.5979 0.5979 0.9338
Tl 0.4021 0.4021 0.0662
Tl 0.8430 0.3161 0.6113
Tl 0.7830 0.7830 0.1189
Na 0.5891 0.5891 0.2930
Tl 0.6839 0.1570 0.3887
Ba 0.2235 0.2235 0.3217
Tl 0.1570 0.6839 0.3887
Ba 0.0000 0.0000 0.0000
Ba 0.7765 0.7765 0.6783
```

Results
The space group is No. 12.

---

Entry 8:
A plane-wave DFT calculation with PBE was carried out for a geometry-optimized Ba4Na5Tl2 structure. Values from VASP.

```
&SYSTEM
  ibrav = 0, nat = 11, ntyp = 3
/
ATOMIC_SPECIES
Na 22.99 Na.upf
Ba 137.33 Ba.upf
Tl 204.38 Tl.upf
CELL_PARAMETERS angstrom
-4.2892 0.4631 -0.7957
-0.2568 -8.8796 -3.7837
-2.4571 -3.8490 11.0054
ATOMIC_POSITIONS crystal
Na 0.0000 0.8039 0.8395
Ba 0.5000 0.1599 0.8532
Na 0.0000 0.4493 0.6933
Ba 0.5000 0.7664 0.5431
Ba 0.5000 0.8401 0.1468
Na 0.0000 0.5000 0.0000
Tl 0.0000 0.0493 0.6387
Na 0.0000 0.5507 0.3067
Ba 0.5000 0.2336 0.4569
Na 0.0000 0.1961 0.1605
Tl 0.0000 0.9507 0.3613
```

Results
The space group is No. 10.

---

Energy of formation for every record listed, in sequence, given in eV/atom: -0.009, -0.100, -0.114, -0.097, -0.137, -0.166, -0.186, -0.126.